Fe2As (GGA-PBE, relaxed); space group = I4_1/amd (141); E_form = 0.054 eV/atom; volume = 158 Å³ per cell; density = 7.86 g/cm³
1.0
-1.7828 1.7828 12.4038
1.7828 -1.7828 12.4038
1.7828 1.7828 -12.4038
Fe As
8 4
direct
0.1234 0.3734 0.7500
0.2925 0.5425 0.7500
0.3734 0.1234 0.2500
0.4575 0.7075 0.7500
0.5425 0.2925 0.2500
0.6266 0.8766 0.7500
0.7075 0.4575 0.2500
0.8766 0.6266 0.2500
0.0525 0.8025 0.2500
0.1975 0.9475 0.2500
0.8025 0.0525 0.7500
0.9475 0.1975 0.7500